1.
Material: NaMnBr
Method: DFT, PBE
State: relaxed

Cell lengths 12.663, 3.627, 6.284 Å; angles 90.00, 99.54, 90.00 degrees
Positions (direct):
Na (0.860, 0.000, 0.849)
Na (0.860, 0.500, 0.349)
Na (0.179, 0.000, 0.955)
Na (0.179, 0.500, 0.455)
Br (0.016, 0.500, 0.734)
Br (0.016, 0.000, 0.234)
Br (0.692, 0.500, 0.626)
Br (0.692, 0.000, 0.126)
Mn (0.392, 0.000, 0.360)
Mn (0.542, 0.500, 0.243)
Mn (0.542, 0.000, 0.743)
Mn (0.392, 0.500, 0.860)

The value obtained for the energy above the lowest structure with this stoichiometry is 0.34 eV/f.u. For the size of the total moment, the calculation gives 16.399 μB/cell.



2.
Material: NaMnBr2
Method: DFT, PBE
State: relaxed

Cell lengths 6.479, 6.479, 7.540 Å; angles 64.56, 64.56, 90.00 degrees
Positions (direct):
Br (0.664, 0.125, 0.250)
Br (0.375, 0.336, 0.750)
Br (0.086, 0.625, 0.250)
Br (0.875, 0.914, 0.750)
Na (0.500, 0.500, 0.000)
Na (0.250, 0.750, 0.500)
Mn (0.000, 0.000, 0.000)
Mn (0.750, 0.250, 0.500)

The value obtained for the energy above the lowest structure with this stoichiometry is 0.00 eV/f.u. For the size of the total moment, the calculation gives 8.486 μB/cell.



3.
Material: NaMnBr
Method: DFT, PBE
State: relaxed

Cell lengths 3.870, 3.870, 34.679 Å; angles 90.00, 90.00, 120.00 degrees
Positions (direct):
Na (0.667, 0.333, 0.850)
Na (0.000, 0.000, 0.516)
Na (0.667, 0.333, 0.074)
Na (0.000, 0.000, 0.741)
Na (0.333, 0.667, 0.183)
Na (0.333, 0.667, 0.407)
Br (0.333, 0.667, 0.022)
Br (0.000, 0.000, 0.355)
Br (0.667, 0.333, 0.462)
Br (0.667, 0.333, 0.688)
Br (0.333, 0.667, 0.795)
Br (0.000, 0.000, 0.129)
Mn (0.667, 0.333, 0.255)
Mn (0.667, 0.333, 0.618)
Mn (0.000, 0.000, 0.284)
Mn (0.333, 0.667, 0.588)
Mn (0.333, 0.667, 0.951)
Mn (0.000, 0.000, 0.921)

The value obtained for the energy above the lowest structure with this stoichiometry is 0.00 eV/f.u. For the size of the total moment, the calculation gives 0.071 μB/cell.



4.
Material: NaMn2Br
Method: DFT, PBE
State: relaxed

Cell lengths 4.335, 4.335, 4.335 Å; angles 60.00, 60.00, 60.00 degrees
Positions (direct):
Na (0.000, 0.000, 0.000)
Br (0.500, 0.500, 0.500)
Mn (0.250, 0.250, 0.250)
Mn (0.750, 0.750, 0.750)

The value obtained for the energy above the lowest structure with this stoichiometry is 3.92 eV/f.u. For the size of the total moment, the calculation gives 0.000 μB/cell.



5.
Material: NaMn2Br
Method: DFT, PBE
State: relaxed

Cell lengths 8.517, 8.517, 6.642 Å; angles 50.12, 50.12, 90.00 degrees
Positions (direct):
Mn (0.082, 0.625, 0.250)
Mn (0.875, 0.918, 0.750)
Mn (0.375, 0.332, 0.750)
Mn (0.668, 0.125, 0.250)
Na (0.500, 0.500, 0.000)
Na (0.250, 0.750, 0.500)
Br (0.000, 0.000, 0.000)
Br (0.750, 0.250, 0.500)

The value obtained for the energy above the lowest structure with this stoichiometry is 0.00 eV/f.u. For the size of the total moment, the calculation gives 18.450 μB/cell.



6.
Material: Na3MnBr6
Method: DFT, PBE
State: relaxed

Cell lengths 8.445, 8.445, 8.445 Å; angles 90.52, 90.52, 90.52 degrees
Positions (direct):
Mn (0.500, 0.500, 0.500)
Mn (0.000, 0.000, 0.000)
Na (0.573, 0.091, 0.238)
Na (0.909, 0.762, 0.427)
Na (0.762, 0.427, 0.909)
Na (0.238, 0.573, 0.091)
Na (0.091, 0.238, 0.573)
Na (0.427, 0.909, 0.762)
Br (0.795, 0.457, 0.558)
Br (0.442, 0.205, 0.543)
Br (0.457, 0.558, 0.795)
Br (0.543, 0.442, 0.205)
Br (0.288, 0.932, 0.083)
Br (0.068, 0.917, 0.712)
Br (0.932, 0.083, 0.288)
Br (0.712, 0.068, 0.917)
Br (0.917, 0.712, 0.068)
Br (0.558, 0.795, 0.457)
Br (0.083, 0.288, 0.932)
Br (0.205, 0.543, 0.442)

The value obtained for the energy above the lowest structure with this stoichiometry is 0.00 eV/f.u. For the size of the total moment, the calculation gives 8.000 μB/cell.



7.
Material: NaMnBr
Method: DFT, PBE
State: relaxed

Cell lengths 3.848, 3.848, 35.065 Å; angles 90.00, 90.00, 120.00 degrees
Positions (direct):
Na (0.333, 0.667, 0.203)
Na (0.667, 0.333, 0.870)
Na (0.000, 0.000, 0.536)
Na (0.667, 0.333, 0.427)
Na (0.333, 0.667, 0.760)
Na (0.000, 0.000, 0.093)
Mn (0.333, 0.667, 0.304)
Mn (0.000, 0.000, 0.940)
Mn (0.000, 0.000, 0.637)
Mn (0.667, 0.333, 0.971)
Mn (0.333, 0.667, 0.607)
Mn (0.667, 0.333, 0.274)
Br (0.333, 0.667, 0.374)
Br (0.000, 0.000, 0.816)
Br (0.667, 0.333, 0.040)
Br (0.000, 0.000, 0.707)
Br (0.333, 0.667, 0.482)
Br (0.667, 0.333, 0.149)

The value obtained for the energy above the lowest structure with this stoichiometry is 0.01 eV/f.u. For the size of the total moment, the calculation gives 0.044 μB/cell.



8.
Material: Na6MnBr8
Method: DFT, PBE
State: relaxed

Cell lengths 8.475, 8.475, 8.475 Å; angles 60.00, 60.00, 60.00 degrees
Positions (direct):
Na (0.000, 0.500, 0.000)
Na (0.000, 0.500, 0.500)
Na (0.500, 0.500, 0.000)
Na (0.000, 0.000, 0.500)
Na (0.500, 0.000, 0.500)
Na (0.500, 0.000, 0.000)
Br (0.772, 0.228, 0.228)
Br (0.772, 0.772, 0.228)
Br (0.228, 0.772, 0.228)
Br (0.228, 0.772, 0.772)
Br (0.228, 0.228, 0.772)
Br (0.750, 0.750, 0.750)
Br (0.250, 0.250, 0.250)
Br (0.772, 0.228, 0.772)
Mn (0.000, 0.000, 0.000)

For the size of the total moment, the calculation gives 5.000 μB/cell.



9.
Material: Na2MnNiBr6
Method: DFT, PBE
State: relaxed

Cell lengths 7.084, 7.084, 7.326 Å; angles 61.08, 61.08, 59.99 degrees
Positions (direct):
Ni (0.323, 0.323, 0.032)
Br (0.973, 0.574, 0.263)
Br (0.190, 0.973, 0.263)
Br (0.574, 0.190, 0.263)
Br (0.680, 0.090, 0.772)
Br (0.458, 0.680, 0.772)
Br (0.090, 0.458, 0.772)
Na (0.025, 0.025, 0.924)
Na (0.529, 0.529, 0.412)
Mn (0.819, 0.819, 0.542)

For the size of the total moment, the calculation gives 6.992 μB/cell.



10.
Material: Na2MnNiBr
Method: DFT, PBE
State: relaxed

Cell lengths 5.466, 5.466, 4.542 Å; angles 90.00, 90.00, 90.00 degrees
Positions (direct):
Na (0.500, 0.000, 0.000)
Na (0.000, 0.500, 0.000)
Mn (0.500, 0.500, 0.500)
Ni (0.000, 0.000, 0.500)
Br (0.000, 0.000, 0.000)

For the size of the total moment, the calculation gives 4.433 μB/cell.



11.
Material: NaNpMnBr6
Method: DFT, PBE
State: relaxed

Cell lengths 7.170, 7.170, 13.313 Å; angles 90.00, 90.00, 120.00 degrees
Positions (direct):
Br (0.636, 0.979, 0.868)
Br (0.657, 0.636, 0.132)
Br (0.021, 0.364, 0.632)
Br (0.364, 0.021, 0.132)
Br (0.364, 0.343, 0.368)
Br (0.343, 0.979, 0.632)
Br (0.657, 0.021, 0.368)
Br (0.636, 0.657, 0.632)
Br (0.979, 0.343, 0.132)
Br (0.343, 0.364, 0.868)
Br (0.979, 0.636, 0.368)
Br (0.021, 0.657, 0.868)
Na (0.000, 0.000, 0.500)
Na (0.000, 0.000, 0.000)
Mn (0.667, 0.333, 0.250)
Mn (0.333, 0.667, 0.750)
Np (0.333, 0.667, 0.250)
Np (0.667, 0.333, 0.750)

For the size of the total moment, the calculation gives 18.001 μB/cell.



It is found that the calculated volume values, taken in the order of the records, are 23.72 31.42 24.99 14.40 25.40 30.11 24.99 28.70 26.41 27.14 32.93 A^3/atom.
It is found that the energy relative to the elements, uncorrected values, taken in the order of the records, are -259 -593 -371 1545 565 -1165 -367 -1408 -870 481 -1172 meV per atom.